Record 1
First-principles (PBE) data for KReO6 after structural relaxation, as listed in Alexandria.

## Properties
VASP energy   -192.48 eV for the cell shown
Uncorrected formation energy   -4.8 eV per formula unit
Total moment   4.00 μB/f.u.

Cell lengths 9.286, 9.286, 9.286 Å; angles 90.00, 90.00, 90.00 degrees
Space group Fm-3m (No. 225)
Asymmetric unit:
1 K 0.000 0.000 0.000 (multiplicity 4)
2 Re 0.000 0.000 0.500 (multiplicity 4)
3 O 0.000 0.000 0.298 (multiplicity 24)

Record 2
First-principles (PBE) data for CsHoSnBr6 after structural relaxation, as listed in Alexandria.

## Properties
VASP energy   -33.22 eV for the cell shown
Uncorrected formation energy   -13.8 eV per formula unit
Total moment   0.00 μB/f.u.

Cell lengths 7.6194, 7.6194, 7.9629 Å; angles 90.00, 90.00, 120.00 degrees
Space group P312 (No. 149)
Asymmetric unit:
1 Cs 0.0000 0.0000 0.0000 (multiplicity 1)
2 Ho 0.6667 0.3333 0.5000 (multiplicity 1)
3 Sn 0.3333 0.6667 0.5000 (multiplicity 1)
4 Br 0.3846 0.0197 0.7060 (multiplicity 6)

Record 3
First-principles (PBE) data for BaIn2As2 after structural relaxation, as listed in Alexandria.

## Properties
VASP energy   -38.41 eV for the cell shown
ΔE_f   -0.501 eV per atom
Total moment   0.00 μB/f.u.

Cell lengths 5.277, 5.277, 10.131 Å; angles 90.00, 90.00, 90.00 degrees
Space group I4/mmm (No. 139)
Asymmetric unit:
1 Ba 0.000 0.000 0.000 (multiplicity 2)
2 In 0.000 0.000 0.357 (multiplicity 4)
3 As 0.000 0.500 0.250 (multiplicity 4)

Record 4
First-principles (PBE) data for KLiPb2 after structural relaxation, as listed in Alexandria.

## Properties
VASP energy   -22.03 eV for the cell shown
ΔE_f   -0.147 eV per atom
Total moment   0.00 μB/f.u.

Cell lengths 9.726, 3.587, 7.608 Å; angles 90.00, 97.97, 90.00 degrees
Space group C2/m (No. 12)
Asymmetric unit:
1 K 0.000 0.000 0.000 (multiplicity 2)
2 Li 0.000 0.500 0.500 (multiplicity 2)
3 Pb 0.240 0.000 0.669 (multiplicity 4)